This record from OQMD via LeMat-Bulk describes a relaxed structure of La2PrMg3Ir3. The functional is PBE.

Output
M_tot = 0.00 μB/f.u.
Crystal system = orthorhombic
E = -102.700 eV for the cell shown

Lattice parameters (Å, degrees): 4.1919 12.9807 7.4472 90.00 90.00 90.00
Closest atoms and distances in Å follow each position.
Space group Amm2 (No. 38)
One atom of each set of equivalent atoms:
La 0.0000 0.2068 0.0000 x4  5 Ir 3.05-3.10, 6 Mg 3.35-3.41
Pr 0.0000 0.0000 0.6198 x2  5 Ir 3.06-3.10, 6 Mg 3.33-3.39
Mg 0.5000 0.0000 0.9673 x2  4 Ir 2.76-2.90
Mg 0.5000 0.1184 0.3275 x4  4 Ir 2.75-2.92, 1 Mg 3.07
Ir 0.0000 0.0000 0.2083 x2  6 Mg 2.75-2.76, 1 Pr 3.06
Ir 0.5000 0.1680 0.7098 x4  3 Mg 2.90-2.92, 4 La 3.05-3.08, 2 Pr 3.10



This record from OQMD via LeMat-Bulk describes a relaxed structure of La2Mg4IrPt. The functional is PBE.

Output
M_tot = 0.00 μB/f.u.
Crystal system = orthorhombic
E = -71.614 eV for the cell shown

Lattice parameters (Å, degrees): 8.3956 4.2520 10.4180 90.00 90.00 90.00
Closest atoms and distances in Å follow each position.
Space group Amm2 (No. 38)
One atom of each set of equivalent atoms:
La 0.0000 0.0000 0.0000 x2  3 Ir 3.03-3.05, 2 Mg 3.34
La 0.5000 0.0000 0.1254 x2  3 Pt 3.01-3.06
Mg 0.1923 0.0000 0.7194 x4  2 Ir 2.77, 1 Pt 2.86, 2 Mg 3.04
Mg 0.3025 0.0000 0.4082 x4  2 Pt 2.80, 1 Ir 2.82, 2 Mg 3.04
Ir 0.0000 0.0000 0.2906 x2  6 Mg 2.77-2.82, 3 La 3.03-3.05
Pt 0.5000 0.0000 0.8369 x2  6 Mg 2.80-2.86, 3 La 3.01-3.06



This record from OQMD via LeMat-Bulk describes a relaxed structure of LaTb2Mg3Ir2Pt. The functional is PBE.

Output
M_tot = 0.00 μB/f.u.
Crystal system = orthorhombic
E = -98.951 eV for the cell shown

Lattice parameters (Å, degrees): 4.0757 12.7918 7.4440 90.00 90.00 90.00
Closest atoms and distances in Å follow each position.
Space group Amm2 (No. 38)
One atom of each set of equivalent atoms:
La 0.0000 0.0000 0.0000 x2  4 Ir 3.04, 1 Pt 3.17, 2 Mg 3.25
Tb 0.0000 0.2063 0.6245 x4  4 Ir 3.00-3.03, 1 Pt 3.02, 6 Mg 3.24-3.34
Mg 0.5000 0.0000 0.6603 x2  2 Pt 2.68, 2 Ir 2.90
Mg 0.5000 0.1248 0.2991 x4  2 Pt 2.76, 2 Ir 2.78-2.89
Ir 0.5000 0.1694 0.9191 x4  3 Mg 2.78-2.90, 4 Tb 3.00-3.03, 2 La 3.04
Pt 0.0000 0.0000 0.4261 x2  6 Mg 2.68-2.76